# 1
First-principles (PBE) data for a relaxed TiTl3Sn2Se6 crystal, as listed in the Alexandria database.

## Properties
SG: C2/m
Formation energy (no corrections) (eV per atom): -0.60
Calculated density (Mg/m³): 6.87
DOS at the Fermi energy (states/eV per atom): 0.38

a b c (Å): 7.1144 7.1144 7.8967
angles (deg): 98.55 98.55 119.70
Closest atoms and distances in Å follow each position.
Positions (direct):
1 Ti 0.0000 0.0000 0.0000  6 Se 2.61-2.64
2 Tl 0.1727 0.8273 0.5000  6 Se 3.23-3.43
3 Tl 0.5000 0.5000 0.5000  6 Se 3.24-3.43
4 Tl 0.8273 0.1727 0.5000  6 Se 3.23-3.43
5 Sn 0.3339 0.6661 0.0000  6 Se 2.90-2.91
6 Sn 0.6661 0.3339 0.0000  6 Se 2.90-2.91
7 Se 0.0645 0.3667 0.1948  1 Ti 2.61, 2 Sn 2.90
8 Se 0.2356 0.2356 0.7987  1 Ti 2.64, 2 Sn 2.91
9 Se 0.3667 0.0645 0.1948  1 Ti 2.61, 2 Sn 2.90
10 Se 0.6333 0.9355 0.8052  1 Ti 2.61, 2 Sn 2.90
11 Se 0.7644 0.7644 0.2013  1 Ti 2.64, 2 Sn 2.91
12 Se 0.9355 0.6333 0.8052  1 Ti 2.61, 2 Sn 2.90

# 2
First-principles (PBE) data for a relaxed Tl2Sn2Se3 crystal, as listed in the Alexandria database.

## Properties
SG: P-1
Formation energy (no corrections) (eV per atom): -0.41
Calculated density (Mg/m³): 6.78
DOS at the Fermi energy (states/eV per atom): 0.02

a b c (Å): 4.3091 7.0296 7.4746
angles (deg): 85.58 73.26 89.93
Closest atoms and distances in Å follow each position.
Positions (direct):
1 Tl 0.1102 0.4029 0.2786  4 Se 3.08-3.34
2 Tl 0.8898 0.5971 0.7214  4 Se 3.08-3.34
3 Sn 0.3695 0.1235 0.7605  3 Se 2.73-3.02
4 Sn 0.6305 0.8765 0.2395  3 Se 2.73-3.02
5 Se 0.0000 0.0000 0.5000  4 Sn 3.02, 2 Tl 3.13
6 Se 0.2708 0.7760 0.9590  1 Sn 2.73
7 Se 0.7292 0.2240 0.0410  1 Sn 2.73

# 3
First-principles (PBE) data for a relaxed Tl6SnSe4 crystal, as listed in the Alexandria database.

## Properties
SG: P6_3mc
Formation energy (no corrections) (eV per atom): -0.34
Calculated density (Mg/m³): 7.12

a b c (Å): 10.1292 10.1292 8.7140
angles (deg): 90.00 90.00 120.00
Closest atoms and distances in Å follow each position.
Positions (direct):
1 Tl 0.0659 0.5329 0.0000  3 Se 3.02-3.20
2 Tl 0.1607 0.3214 0.3647  4 Se 3.23-3.50, 2 Tl 3.50
3 Tl 0.1607 0.8393 0.3647  4 Se 3.23-3.50, 2 Tl 3.50
4 Tl 0.3214 0.1607 0.8647  4 Se 3.23-3.50, 2 Tl 3.50
5 Tl 0.4671 0.5329 0.0000  3 Se 3.02-3.20
6 Tl 0.4671 0.9341 0.0000  3 Se 3.02-3.20
7 Tl 0.5329 0.0659 0.5000  3 Se 3.02-3.20
8 Tl 0.5329 0.4671 0.5000  3 Se 3.02-3.20
9 Tl 0.6786 0.8393 0.3647  4 Se 3.23-3.50, 2 Tl 3.50
10 Tl 0.8393 0.1607 0.8647  4 Se 3.23-3.50, 2 Tl 3.50
11 Tl 0.8393 0.6786 0.8647  4 Se 3.23-3.50, 2 Tl 3.50
12 Tl 0.9341 0.4671 0.5000  3 Se 3.02-3.20
13 Sn 0.3333 0.6667 0.6273  3 Se 2.78
14 Sn 0.6667 0.3333 0.1273  3 Se 2.78
15 Se 0.1898 0.3795 0.7616  1 Sn 2.78
16 Se 0.1898 0.8102 0.7616  1 Sn 2.78
17 Se 0.3333 0.6667 0.2181  6 Tl 3.02-3.29
18 Se 0.3795 0.1898 0.2616  1 Sn 2.78
19 Se 0.6205 0.8102 0.7616  1 Sn 2.78
20 Se 0.6667 0.3333 0.7181  6 Tl 3.02-3.29
21 Se 0.8102 0.1898 0.2616  1 Sn 2.78
22 Se 0.8102 0.6205 0.2616  1 Sn 2.78

# 4
First-principles (PBE) data for a relaxed TlSnSe crystal, as listed in the Alexandria database.

## Properties
SG: Pnma
Relative energy among the computed polymorphs (meV/atom): 0
Formation energy (no corrections) (eV per atom): -0.23
Calculated density (Mg/m³): 7.44
DOS at the Fermi energy (states/eV per atom): 0.40

a b c (Å): 7.5497 3.9307 12.0886
angles (deg): 90.00 90.00 90.00
Closest atoms and distances in Å follow each position.
Positions (direct):
1 Tl 0.0216 0.2500 0.2082  4 Se 3.37-3.38, 4 Sn 3.47-3.62
2 Tl 0.4784 0.7500 0.7082  4 Se 3.37-3.38, 4 Sn 3.47-3.62
3 Tl 0.5216 0.2500 0.2918  4 Se 3.37-3.38, 4 Sn 3.47-3.62
4 Tl 0.9784 0.7500 0.7918  4 Se 3.37-3.38, 4 Sn 3.47-3.62
5 Sn 0.2132 0.7500 0.4290  3 Se 2.85
6 Sn 0.2868 0.2500 0.9290  3 Se 2.85
7 Sn 0.7132 0.7500 0.0710  3 Se 2.85
8 Sn 0.7868 0.2500 0.5710  3 Se 2.85
9 Se 0.1618 0.2500 0.5964  3 Sn 2.85
10 Se 0.3382 0.7500 0.0964  3 Sn 2.85
11 Se 0.6618 0.2500 0.9036  3 Sn 2.85
12 Se 0.8382 0.7500 0.4036  3 Sn 2.85

# 5
First-principles (PBE) data for a relaxed Tl5Sn2Se4 crystal, as listed in the Alexandria database.

## Properties
SG: C2/m
Formation energy (no corrections) (eV per atom): -0.31
Calculated density (Mg/m³): 6.79
DOS at the Fermi energy (states/eV per atom): 0.22

a b c (Å): 10.2082 10.2082 9.5388
angles (deg): 100.42 100.42 23.23
Closest atoms and distances in Å follow each position.
Positions (direct):
1 Tl 0.0000 0.0000 0.0000  6 Se 3.27-3.29
2 Tl 0.3237 0.3237 0.1391  3 Se 3.05-3.10
3 Tl 0.3293 0.3293 0.6766  3 Se 3.00-3.19
4 Tl 0.6707 0.6707 0.3234  3 Se 3.00-3.19
5 Tl 0.6763 0.6763 0.8609  3 Se 3.05-3.10
6 Sn 0.0588 0.0588 0.6250  2 Se 2.74, 1 Sn 3.02
7 Sn 0.9412 0.9412 0.3750  2 Se 2.74, 1 Sn 3.02
8 Se 0.1658 0.1658 0.0921  6 Tl 3.00-3.27
9 Se 0.4916 0.4916 0.7280  2 Sn 2.74
10 Se 0.5084 0.5084 0.2720  2 Sn 2.74
11 Se 0.8342 0.8342 0.9079  6 Tl 3.00-3.27

# 6
First-principles (PBE) data for a relaxed Tl3Sn4Se8 crystal, as listed in the Alexandria database.

## Properties
SG: C2/m
Formation energy (no corrections) (eV per atom): -0.34
Calculated density (Mg/m³): 6.49
DOS at the Fermi energy (states/eV per atom): 0.48

a b c (Å): 8.5402 8.5402 8.2578
angles (deg): 118.87 118.87 90.02
Closest atoms and distances in Å follow each position.
Positions (direct):
1 Tl 0.0000 0.0000 0.0000  6 Se 3.14-3.17
2 Tl 0.0000 0.5000 0.0000  6 Se 3.02-3.03
3 Tl 0.5000 0.0000 0.0000  6 Se 3.02-3.03
4 Sn 0.0000 0.5000 0.5000  6 Se 3.03
5 Sn 0.5000 0.0000 0.5000  6 Se 3.03
6 Sn 0.5000 0.5000 0.0000  6 Se 2.89-2.90
7 Sn 0.5000 0.5000 0.5000  6 Se 2.78-2.81
8 Se 0.2601 0.7399 0.0000  3 Sn 2.90-3.03, 3 Tl 3.02-3.14
9 Se 0.2692 0.7308 0.5000  3 Sn 2.79-3.03, 2 Tl 3.03
10 Se 0.2774 0.2774 0.5207  4 Sn 2.81-3.03
11 Se 0.2802 0.2802 0.0400  2 Sn 2.78-2.89, 2 Tl 3.03
12 Se 0.7198 0.7198 0.9600  2 Sn 2.78-2.89, 2 Tl 3.03
13 Se 0.7226 0.7226 0.4793  4 Sn 2.81-3.03
14 Se 0.7308 0.2692 0.5000  3 Sn 2.79-3.03, 2 Tl 3.03
15 Se 0.7399 0.2601 0.0000  3 Sn 2.90-3.03, 3 Tl 3.02-3.14